Density functional theory data (GGA+U) for a relaxed MoAsP2O crystal.

Cell and atoms, written as POSCAR:
```
MoAsP2O
1.0
4.800 0.000 0.000
0.000 4.800 0.000
0.000 0.000 3.652
Mo As P O
1 1 2 1
Cartesian
0.000 0.000 0.000
2.400 2.400 1.826
0.000 2.400 1.826
2.400 0.000 1.826
2.400 2.400 0.000
```

The value obtained for the energy relative to the lowest polymorph listed for this composition is 285 meV/atom.